Entry 1:
First-principles (PBE) data for a relaxed structure of Pr3Nb2W3N12, as listed in the Open Quantum Materials Database.

a b c (Å): 11.3071 11.3071 11.3071
angles (deg): 109.47 109.47 109.47
Closest atoms and distances in Å follow each position.
Atoms (fractional coordinates):
Pr 0.1250 0.2500 0.3750  8 N 2.55-2.66
Pr 0.1250 0.3750 0.7500  8 N 2.55-2.66
Pr 0.2500 0.3750 0.1250  8 N 2.55-2.66
Pr 0.2500 0.8750 0.6250  8 N 2.55-2.66
Pr 0.3750 0.1250 0.2500  8 N 2.55-2.66
Pr 0.3750 0.7500 0.1250  8 N 2.55-2.66
Pr 0.6250 0.2500 0.8750  8 N 2.55-2.66
Pr 0.6250 0.8750 0.7500  8 N 2.55-2.66
Pr 0.7500 0.1250 0.3750  8 N 2.55-2.66
Pr 0.7500 0.6250 0.8750  8 N 2.55-2.66
Pr 0.8750 0.6250 0.2500  8 N 2.55-2.66
Pr 0.8750 0.7500 0.6250  8 N 2.55-2.66
Nb 0.0000 0.0000 0.0000  6 N 2.12
Nb 0.0000 0.0000 0.5000  6 N 2.12
Nb 0.0000 0.5000 0.0000  6 N 2.12
Nb 0.0000 0.5000 0.5000  6 N 2.12
Nb 0.5000 0.0000 0.0000  6 N 2.12
Nb 0.5000 0.0000 0.5000  6 N 2.12
Nb 0.5000 0.5000 0.0000  6 N 2.12
Nb 0.5000 0.5000 0.5000  6 N 2.12
W 0.1250 0.7500 0.8750  4 N 1.88
W 0.1250 0.8750 0.2500  4 N 1.88
W 0.2500 0.1250 0.8750  4 N 1.88
W 0.2500 0.6250 0.3750  4 N 1.88
W 0.3750 0.2500 0.6250  4 N 1.88
W 0.3750 0.6250 0.7500  4 N 1.88
W 0.6250 0.3750 0.2500  4 N 1.88
W 0.6250 0.7500 0.3750  4 N 1.88
W 0.7500 0.3750 0.6250  4 N 1.88
W 0.7500 0.8750 0.1250  4 N 1.88
W 0.8750 0.1250 0.7500  4 N 1.88
W 0.8750 0.2500 0.1250  4 N 1.88
N 0.0160 0.2007 0.1153  1 W 1.88
N 0.0160 0.3153 0.9006  1 W 1.88
N 0.0854 0.7007 0.6847  1 W 1.88
N 0.0854 0.8847 0.4006  1 W 1.88
N 0.0994 0.6153 0.4146  1 W 1.88
N 0.0994 0.9840 0.6847  1 W 1.88
N 0.1153 0.0160 0.2007  1 W 1.88
N 0.1153 0.5994 0.9146  1 W 1.88
N 0.1847 0.2007 0.5854  1 W 1.88
N 0.1847 0.4840 0.5994  1 W 1.88
N 0.2007 0.1153 0.0160  1 W 1.88
N 0.2007 0.5854 0.1847  1 W 1.88
N 0.2993 0.3153 0.9146  1 W 1.88
N 0.2993 0.4840 0.3847  1 W 1.88
N 0.3153 0.9006 0.0160  1 W 1.88
N 0.3153 0.9146 0.2993  1 W 1.88
N 0.3847 0.2993 0.4840  1 W 1.88
N 0.3847 0.5854 0.9006  1 W 1.88
N 0.4006 0.0854 0.8847  1 W 1.88
N 0.4006 0.8153 0.5160  1 W 1.88
N 0.4146 0.0994 0.6153  1 W 1.88
N 0.4146 0.8153 0.7993  1 W 1.88
N 0.4840 0.3847 0.2993  1 W 1.88
N 0.4840 0.5994 0.1847  1 W 1.88
N 0.5160 0.4006 0.8153  1 W 1.88
N 0.5160 0.6153 0.7007  1 W 1.88
N 0.5854 0.1847 0.2007  1 W 1.88
N 0.5854 0.9006 0.3847  1 W 1.88
N 0.5994 0.1847 0.4840  1 W 1.88
N 0.5994 0.9146 0.1153  1 W 1.88
N 0.6153 0.4146 0.0994  1 W 1.88
N 0.6153 0.7007 0.5160  1 W 1.88
N 0.6847 0.0854 0.7007  1 W 1.88
N 0.6847 0.0994 0.9840  1 W 1.88
N 0.7007 0.5160 0.6153  1 W 1.88
N 0.7007 0.6847 0.0854  1 W 1.88
N 0.7993 0.4146 0.8153  1 W 1.88
N 0.7993 0.8847 0.9840  1 W 1.88
N 0.8153 0.5160 0.4006  1 W 1.88
N 0.8153 0.7993 0.4146  1 W 1.88
N 0.8847 0.4006 0.0854  1 W 1.88
N 0.8847 0.9840 0.7993  1 W 1.88
N 0.9006 0.0160 0.3153  1 W 1.88
N 0.9006 0.3847 0.5854  1 W 1.88
N 0.9146 0.1153 0.5994  1 W 1.88
N 0.9146 0.2993 0.3153  1 W 1.88
N 0.9840 0.6847 0.0994  1 W 1.88
N 0.9840 0.7993 0.8847  1 W 1.88

Properties
E_tot   -9.58 eV per atom

---

Entry 2:
First-principles (PBE) data for a relaxed structure of CuSnWAu, as listed in the Open Quantum Materials Database.

a b c (Å): 4.6216 4.6216 4.6216
angles (deg): 60.00 60.00 60.00
Closest atoms and distances in Å follow each position.
Atoms (fractional coordinates):
Cu 0.0000 0.0000 0.0000  4 Sn 2.83, 4 Au 2.83
Sn 0.7500 0.7500 0.7500  4 W 2.83, 4 Cu 2.83
W 0.5000 0.5000 0.5000  4 Sn 2.83, 4 Au 2.83
Au 0.2500 0.2500 0.2500  4 W 2.83, 4 Cu 2.83

Properties
E_tot   -5.44 eV per atom

---

Entry 3:
First-principles (PBE) data for a relaxed structure of LiHfAg3Se4, as listed in the Open Quantum Materials Database.

a b c (Å): 6.2179 6.2179 6.2179
angles (deg): 90.00 90.00 90.00
Closest atoms and distances in Å follow each position.
Atoms (fractional coordinates):
Li 0.0000 0.0000 0.0000  4 Se 2.80
Hf 0.5000 0.5000 0.5000  4 Se 2.59
Ag 0.0000 0.5000 0.5000  4 Se 2.66
Ag 0.5000 0.0000 0.5000  4 Se 2.66
Ag 0.5000 0.5000 0.0000  4 Se 2.66
Se 0.2599 0.2599 0.2599  1 Hf 2.59, 3 Ag 2.66, 1 Li 2.80
Se 0.2599 0.7401 0.7401  1 Hf 2.59, 3 Ag 2.66, 1 Li 2.80
Se 0.7401 0.2599 0.7401  1 Hf 2.59, 3 Ag 2.66, 1 Li 2.80
Se 0.7401 0.7401 0.2599  1 Hf 2.59, 3 Ag 2.66, 1 Li 2.80

Properties
E_tot   -4.51 eV per atom

---

Entry 4:
First-principles (PBE) data for a relaxed structure of HfGeO3, as listed in the Open Quantum Materials Database.

a b c (Å): 4.0002 4.0002 4.2059
angles (deg): 90.00 90.00 90.00
Closest atoms and distances in Å follow each position.
Atoms (fractional coordinates):
Hf 0.0000 0.0000 0.0000  5 O 1.93-2.05
Ge 0.5000 0.5000 0.3844  4 O 2.31
O 0.0000 0.0000 0.5417  1 Hf 1.93
O 0.0000 0.5000 0.1091  2 Hf 2.05
O 0.5000 0.0000 0.1091  2 Hf 2.05

Properties
E_tot   -8.22 eV per atom